1.
Density functional theory data (PBE+U) for an optimized crystal structure of Ac3Fe5F12.

Output
The symmetry is Ia-3d. The value obtained for the density of states at the Fermi level is 10.91 states/eV per cell. As for the total energy: -437.89 eV/cell. The calculation puts the spin magnetization at 0.7898 μB/atom. The volume is 1377 Å³ per cell.

a b c (Å): 12.1394 12.1394 12.1394
angles (deg): 109.47 109.47 109.47
Last column: nearest neighbours and their distance in Å.
Fractional positions:
Ac (0.7500, 0.3750, 0.1250)  8 F 2.55-2.58
Ac (0.8750, 0.7500, 0.1250)  8 F 2.55-2.58
Ac (0.3750, 0.7500, 0.6250)  8 F 2.55-2.58
Ac (0.2500, 0.1250, 0.3750)  8 F 2.55-2.58
Ac (0.8750, 0.1250, 0.2500)  8 F 2.55-2.58
Ac (0.3750, 0.6250, 0.2500)  8 F 2.55-2.58
Ac (0.6250, 0.3750, 0.7500)  8 F 2.55-2.58
Ac (0.1250, 0.8750, 0.7500)  8 F 2.55-2.58
Ac (0.7500, 0.8750, 0.6250)  8 F 2.55-2.58
Ac (0.6250, 0.2500, 0.3750)  8 F 2.55-2.58
Ac (0.1250, 0.2500, 0.8750)  8 F 2.55-2.58
Ac (0.2500, 0.6250, 0.8750)  8 F 2.55-2.58
Fe (0.1250, 0.3750, 0.2500)  4 F 2.28
Fe (0.0000, 0.5000, 0.0000)  6 F 2.38
Fe (0.0000, 0.0000, 0.0000)  6 F 2.38
Fe (0.3750, 0.2500, 0.1250)  4 F 2.28
Fe (0.5000, 0.0000, 0.5000)  6 F 2.38
Fe (0.5000, 0.5000, 0.0000)  6 F 2.38
Fe (0.1250, 0.7500, 0.3750)  4 F 2.28
Fe (0.7500, 0.1250, 0.8750)  4 F 2.28
Fe (0.7500, 0.6250, 0.3750)  4 F 2.28
Fe (0.3750, 0.1250, 0.7500)  4 F 2.28
Fe (0.6250, 0.8750, 0.2500)  4 F 2.28
Fe (0.5000, 0.5000, 0.5000)  6 F 2.38
Fe (0.5000, 0.0000, 0.0000)  6 F 2.38
Fe (0.0000, 0.0000, 0.5000)  6 F 2.38
Fe (0.2500, 0.3750, 0.6250)  4 F 2.28
Fe (0.2500, 0.8750, 0.1250)  4 F 2.28
Fe (0.0000, 0.5000, 0.5000)  6 F 2.38
Fe (0.8750, 0.2500, 0.6250)  4 F 2.28
Fe (0.6250, 0.7500, 0.8750)  4 F 2.28
Fe (0.8750, 0.6250, 0.7500)  4 F 2.28
F (0.7241, 0.1389, 0.0560)  2 Fe 2.28-2.38, 1 Ac 2.55
F (0.3319, 0.5560, 0.4171)  2 Fe 2.28-2.38, 1 Ac 2.55
F (0.9440, 0.3611, 0.2759)  2 Fe 2.28-2.38, 1 Ac 2.55
F (0.5560, 0.2241, 0.1389)  2 Fe 2.28-2.38, 1 Ac 2.55
F (0.5852, 0.7241, 0.6681)  2 Fe 2.28-2.38, 1 Ac 2.55
F (0.9440, 0.5829, 0.1681)  2 Fe 2.28-2.38, 1 Ac 2.55
F (0.3319, 0.7759, 0.4148)  2 Fe 2.28-2.38, 1 Ac 2.55
F (0.0829, 0.9148, 0.1389)  2 Fe 2.28-2.38, 1 Ac 2.55
F (0.5829, 0.9440, 0.6681)  2 Fe 2.28-2.38, 1 Ac 2.55
F (0.7241, 0.5852, 0.1681)  2 Fe 2.28-2.38, 1 Ac 2.55
F (0.7759, 0.4440, 0.3611)  2 Fe 2.28-2.38, 1 Ac 2.55
F (0.8319, 0.9171, 0.0560)  2 Fe 2.28-2.38, 1 Ac 2.55
F (0.1389, 0.7241, 0.5560)  2 Fe 2.28-2.38, 1 Ac 2.55
F (0.3611, 0.4171, 0.0852)  2 Fe 2.28-2.38, 1 Ac 2.55
F (0.0852, 0.9171, 0.3611)  2 Fe 2.28-2.38, 1 Ac 2.55
F (0.4148, 0.1389, 0.5829)  2 Fe 2.28-2.38, 1 Ac 2.55
F (0.0852, 0.1681, 0.2241)  2 Fe 2.28-2.38, 1 Ac 2.55
F (0.4440, 0.6681, 0.0829)  2 Fe 2.28-2.38, 1 Ac 2.55
F (0.8319, 0.9148, 0.2759)  2 Fe 2.28-2.38, 1 Ac 2.55
F (0.1389, 0.4148, 0.0829)  2 Fe 2.28-2.38, 1 Ac 2.55
F (0.3611, 0.9440, 0.7759)  2 Fe 2.28-2.38, 1 Ac 2.55
F (0.5829, 0.6389, 0.4148)  2 Fe 2.28-2.38, 1 Ac 2.55
F (0.9171, 0.8319, 0.5560)  2 Fe 2.28-2.38, 1 Ac 2.55
F (0.7759, 0.3319, 0.9148)  2 Fe 2.28-2.38, 1 Ac 2.55
F (0.4171, 0.3611, 0.5852)  2 Fe 2.28-2.38, 1 Ac 2.55
F (0.0829, 0.1681, 0.4440)  2 Fe 2.28-2.38, 1 Ac 2.55
F (0.2241, 0.6681, 0.0852)  2 Fe 2.28-2.38, 1 Ac 2.55
F (0.1681, 0.0852, 0.7241)  2 Fe 2.28-2.38, 1 Ac 2.55
F (0.6389, 0.0560, 0.2241)  2 Fe 2.28-2.38, 1 Ac 2.55
F (0.8611, 0.5852, 0.9171)  2 Fe 2.28-2.38, 1 Ac 2.55
F (0.5560, 0.3319, 0.9171)  2 Fe 2.28-2.38, 1 Ac 2.55
F (0.5852, 0.8611, 0.4171)  2 Fe 2.28-2.38, 1 Ac 2.55
F (0.9148, 0.8319, 0.7759)  2 Fe 2.28-2.38, 1 Ac 2.55
F (0.9148, 0.0829, 0.6389)  2 Fe 2.28-2.38, 1 Ac 2.55
F (0.8611, 0.2759, 0.4440)  2 Fe 2.28-2.38, 1 Ac 2.55
F (0.1681, 0.0829, 0.9440)  2 Fe 2.28-2.38, 1 Ac 2.55
F (0.6389, 0.5829, 0.9148)  2 Fe 2.28-2.38, 1 Ac 2.55
F (0.4171, 0.0560, 0.3319)  2 Fe 2.28-2.38, 1 Ac 2.55
F (0.2759, 0.4148, 0.8319)  2 Fe 2.28-2.38, 1 Ac 2.55
F (0.2241, 0.5560, 0.6389)  2 Fe 2.28-2.38, 1 Ac 2.55
F (0.9171, 0.0852, 0.8611)  2 Fe 2.28-2.38, 1 Ac 2.55
F (0.6681, 0.2241, 0.5852)  2 Fe 2.28-2.38, 1 Ac 2.55
F (0.4440, 0.7759, 0.8611)  2 Fe 2.28-2.38, 1 Ac 2.55
F (0.0560, 0.4171, 0.8319)  2 Fe 2.28-2.38, 1 Ac 2.55
F (0.4148, 0.2759, 0.3319)  2 Fe 2.28-2.38, 1 Ac 2.55
F (0.0560, 0.6389, 0.7241)  2 Fe 2.28-2.38, 1 Ac 2.55
F (0.6681, 0.4440, 0.5829)  2 Fe 2.28-2.38, 1 Ac 2.55
F (0.2759, 0.8611, 0.9440)  2 Fe 2.28-2.38, 1 Ac 2.55


2.
Density functional theory data (PBE+U) for an optimized crystal structure of AcFe2F7.

Output
The symmetry is Cmmm. The value obtained for the density of states at the Fermi level is 0.00 states/eV per cell. As for the total energy: -58.78 eV/cell. The calculation puts the spin magnetization at 0.8000 μB/atom. The volume is 143 Å³ per cell.

a b c (Å): 3.9664 6.1989 6.1989
angles (deg): 110.78 90.00 90.00
Last column: nearest neighbours and their distance in Å.
Fractional positions:
Ac (0.0000, 0.0000, 0.0000)  10 F 2.61-2.68
Fe (0.5000, 0.6929, 0.3071)  3 F 1.97-2.05
Fe (0.5000, 0.3071, 0.6929)  3 F 1.97-2.05
F (0.0000, 0.7447, 0.2553)  2 Fe 2.05
F (0.0000, 0.2553, 0.7447)  2 Fe 2.05
F (0.5000, 0.0508, 0.3054)  2 Fe 2.22-2.36
F (0.5000, 0.9492, 0.6946)  2 Fe 2.22-2.36
F (0.5000, 0.3054, 0.0508)  2 Fe 2.22-2.36
F (0.5000, 0.6946, 0.9492)  2 Fe 2.22-2.36
F (0.5000, 0.5000, 0.5000)  2 Fe 1.97


3.
Density functional theory data (PBE+U) for an optimized crystal structure of AcFeF2.

Output
The symmetry is R-3m. The value obtained for the density of states at the Fermi level is 2.38 states/eV per cell. As for the total energy: -19.84 eV/cell. The calculation puts the spin magnetization at 1.3099 μB/atom. The volume is 84 Å³ per cell.

a b c (Å): 3.8177 3.8177 6.9962
angles (deg): 74.17 74.17 60.00
Last column: nearest neighbours and their distance in Å.
Fractional positions:
Ac (0.0000, 0.0000, 0.0000)  2 F 2.58
Fe (0.5000, 0.5000, 0.5000)  6 F 2.33
F (0.1293, 0.1293, 0.6122)  3 Fe 2.33, 1 Ac 2.58
F (0.8707, 0.8707, 0.3878)  3 Fe 2.33, 1 Ac 2.58


4.
Density functional theory data (PBE+U) for an optimized crystal structure of AcFeF5.

Output
The symmetry is C2/c. The value obtained for the density of states at the Fermi level is 0.00 states/eV per cell. As for the total energy: -86.07 eV/cell. The calculation puts the spin magnetization at 0.5714 μB/atom. The volume is 255 Å³ per cell.

a b c (Å): 5.9871 5.9871 8.3020
angles (deg): 69.62 69.62 71.88
Last column: nearest neighbours and their distance in Å.
Fractional positions:
Ac (0.5550, 0.4450, 0.2500)  7 F 2.39-2.56
Ac (0.4450, 0.5550, 0.7500)  7 F 2.39-2.56
Fe (0.0000, 0.0000, 0.0000)  6 F 2.00-2.17
Fe (0.0000, 0.0000, 0.5000)  6 F 2.00-2.17
F (0.7936, 0.7503, 0.1166)  1 Fe 2.00
F (0.2965, 0.6836, 0.4704)  1 Fe 2.17
F (0.7503, 0.7936, 0.6166)  1 Fe 2.00
F (0.9092, 0.0908, 0.2500)  2 Fe 2.17
F (0.3164, 0.7035, 0.0296)  1 Fe 2.17
F (0.6836, 0.2965, 0.9704)  1 Fe 2.17
F (0.0908, 0.9092, 0.7500)  2 Fe 2.17
F (0.2497, 0.2064, 0.3834)  1 Fe 2.00
F (0.7035, 0.3164, 0.5296)  1 Fe 2.17
F (0.2064, 0.2497, 0.8834)  1 Fe 2.00


5.
Density functional theory data (PBE+U) for an optimized crystal structure of AcFeF6.

Output
The symmetry is Cm. The value obtained for the density of states at the Fermi level is 0.00 states/eV per cell. As for the total energy: -45.77 eV/cell. The calculation puts the spin magnetization at 0.6320 μB/atom. The volume is 115 Å³ per cell.

a b c (Å): 4.0749 5.3389 5.3389
angles (deg): 98.53 89.96 90.04
Last column: nearest neighbours and their distance in Å.
Fractional positions:
Ac (0.4998, 0.4199, 0.5801)  6 F 2.40-2.61
Fe (0.0023, 0.8660, 0.1340)  5 F 1.84-2.05
F (0.9998, 0.6445, 0.8239)  1 Fe 1.89
F (0.9998, 0.1761, 0.3555)  1 Fe 1.89
F (0.9998, 0.6383, 0.3617)  1 Fe 1.84
F (0.4988, 0.9770, 0.6140)  1 Ac 2.40, 1 F 2.67
F (0.4988, 0.3860, 0.0230)  1 Ac 2.40, 1 F 2.67
F (0.5007, 0.8921, 0.1079)  2 Fe 2.04-2.05


6.
Density functional theory data (PBE+U) for an optimized crystal structure of Ac2FeF8.

Output
The symmetry is C2/m. The value obtained for the density of states at the Fermi level is 0.00 states/eV per cell. As for the total energy: -69.16 eV/cell. The calculation puts the spin magnetization at 0.3636 μB/atom. The volume is 154 Å³ per cell.

a b c (Å): 4.2706 5.4152 7.5176
angles (deg): 111.55 106.50 90.00
Last column: nearest neighbours and their distance in Å.
Fractional positions:
Ac (0.1599, 0.6632, 0.3198)  9 F 2.46-2.69
Ac (0.8401, 0.3368, 0.6802)  9 F 2.46-2.69
Fe (0.5000, 0.0000, 0.0000)  4 F 2.02-2.26
F (0.5919, 0.3910, 0.1838)  1 Fe 2.02
F (0.3531, 0.0574, 0.7062)  1 Fe 2.26
F (0.2206, 0.2866, 0.4412)  3 Ac 2.51-2.69, 4 F 2.60-2.76
F (0.0085, 0.7686, 0.0171)  2 Ac 2.46-2.65, 2 Fe 2.50, 3 F 2.54-2.61
F (0.7794, 0.7134, 0.5588)  3 Ac 2.51-2.69, 4 F 2.60-2.76
F (0.6469, 0.9426, 0.2938)  1 Fe 2.26
F (0.4081, 0.6090, 0.8162)  1 Fe 2.02
F (0.9915, 0.2314, 0.9829)  2 Ac 2.46-2.65, 2 Fe 2.50, 3 F 2.54-2.61


What is the formula in the first record? Ac3Fe5F12